No. 1
Computed, not measured: SrY3Ru after structural relaxation at the PBE level of DFT.

Output
- relative energy among the computed polymorphs (eV per atom) = 0.2119
- final energy (eV per cell) = -120.695
- total moment (μB per atom) = 0.000

Cell lengths 6.7864, 14.6691, 6.1263 Å; angles 90.00, 90.00, 90.00 degrees
Space group Cmcm (No. 63)
Symmetry-distinct sites (fractional):
Sr 0.0000 0.0825 0.2500 [4 per cell]
Y 0.0000 0.5000 0.0000 [4 per cell]
Y 0.2436 0.3131 0.2500 [8 per cell]
Ru 0.0000 0.3287 0.7500 [4 per cell]



No. 2
Computed, not measured: La6Pr12Al after structural relaxation at the PBE level of DFT.

Output
- final energy (eV per cell) = -268.701
- total moment (μB per atom) = 0.000

Cell lengths 12.4010, 12.4010, 15.1136 Å; angles 90.00, 90.00, 120.00 degrees
Space group R-3 (No. 148, hexagonal axes)
Symmetry-distinct sites (fractional):
La 0.0315 0.4312 0.1936 [18 per cell]
Pr 0.0308 0.1772 0.3120 [18 per cell]
Pr 0.0656 0.8617 0.9136 [18 per cell]
Al 0.0000 0.0000 0.5000 [3 per cell]



No. 3
Computed, not measured: ScCoRh2 after structural relaxation at the PBE level of DFT.

Output
- final energy (eV per cell) = -59.094
- total moment (μB per atom) = 0.408

Cell lengths 3.8356, 3.8356, 7.9542 Å; angles 90.00, 90.00, 90.00 degrees
Space group I-4m2 (No. 119)
Symmetry-distinct sites (fractional):
Sc 0.0000 0.0000 0.0000 [2 per cell]
Co 0.0000 0.5000 0.2500 [2 per cell]
Rh 0.0000 0.0000 0.5000 [2 per cell]
Rh 0.0000 0.5000 0.7500 [2 per cell]



No. 4
Computed, not measured: Tb4Pt2I5 after structural relaxation at the PBE level of DFT.

Output
- final energy (eV per cell) = -101.312
- total moment (μB per atom) = 0.000
- formation energy from raw total energies (meV per atom) = -1118

Cell lengths 24.6166, 4.0129, 8.4450 Å; angles 90.00, 91.05, 90.00 degrees
Space group C2/m (No. 12)
Symmetry-distinct sites (fractional):
Tb 0.0188 0.0000 0.3086 [4 per cell]
Tb 0.1591 0.5000 0.4545 [4 per cell]
Pt 0.0546 0.5000 0.5289 [4 per cell]
I 0.0000 0.5000 0.0000 [2 per cell]
I 0.1446 0.0000 0.1741 [4 per cell]
I 0.2127 0.0000 0.6888 [4 per cell]



No. 5
Computed, not measured: Ac4TlPd3 after structural relaxation at the PBE level of DFT.

Output
- final energy (eV per cell) = -39.609
- total moment (μB per atom) = 0.000

Cell lengths 4.2469, 4.8257, 11.8903 Å; angles 90.00, 90.00, 90.00 degrees
Space group Pmm2 (No. 25)
Symmetry-distinct sites (fractional):
Ac 0.0000 0.0000 0.0000 [1 per cell]
Ac 0.0000 0.5000 0.2549 [1 per cell]
Ac 0.5000 0.0000 0.4716 [1 per cell]
Ac 0.5000 0.5000 0.7719 [1 per cell]
Tl 0.0000 0.0000 0.6959 [1 per cell]
Pd 0.0000 0.5000 0.5296 [1 per cell]
Pd 0.5000 0.0000 0.2067 [1 per cell]
Pd 0.5000 0.5000 0.0430 [1 per cell]



No. 6
Computed, not measured: Tl2SnOsRh after structural relaxation at the PBE level of DFT.

Output
- final energy (eV per cell) = -18.379
- total moment (μB per atom) = 0.656

Cell lengths 5.5732, 5.5732, 4.8938 Å; angles 90.00, 90.00, 90.00 degrees
Space group P4/mmm (No. 123)
Symmetry-distinct sites (fractional):
Tl 0.0000 0.5000 0.0000 [2 per cell]
Sn 0.0000 0.0000 0.0000 [1 per cell]
Os 0.5000 0.5000 0.5000 [1 per cell]
Rh 0.0000 0.0000 0.5000 [1 per cell]



No. 7
Computed, not measured: ScH4Ru after structural relaxation at the PBE level of DFT.

Output
- relative energy among the computed polymorphs (eV per atom) = 0.0000
- final energy (eV per cell) = -124.774
- total moment (μB per atom) = 0.000

Cell lengths 5.0565, 8.3510, 5.5242 Å; angles 90.00, 114.10, 90.00 degrees
Space group C2/c (No. 15)
Symmetry-distinct sites (fractional):
Sc 0.0000 0.1290 0.2500 [4 per cell]
H 0.0074 0.3618 0.5385 [8 per cell]
H 0.1406 0.0811 0.6500 [8 per cell]
Ru 0.0000 0.4492 0.2500 [4 per cell]



No. 8
Computed, not measured: Pm4RhN2 after structural relaxation at the PBE level of DFT.

Output
- final energy (eV per cell) = -199.006
- total moment (μB per atom) = 0.000
- formation energy from raw total energies (meV per atom) = -964

Cell lengths 3.6738, 12.2597, 12.8875 Å; angles 90.00, 90.00, 90.00 degrees
Space group Cmcm (No. 63)
Symmetry-distinct sites (fractional):
Pm 0.0000 0.0000 0.0000 [4 per cell]
Pm 0.0000 0.2722 0.1089 [8 per cell]
Pm 0.0000 0.4340 0.7500 [4 per cell]
Rh 0.0000 0.1073 0.7500 [4 per cell]
N 0.0000 0.3662 0.5575 [8 per cell]



No. 9
Computed, not measured: Cd2GaRe2 after structural relaxation at the PBE level of DFT.

Output
- relative energy among the computed polymorphs (eV per atom) = 0.5451
- final energy (eV per cell) = -49.600
- total moment (μB per atom) = 0.000

Cell lengths 3.6446, 3.6446, 14.4128 Å; angles 90.00, 90.00, 90.00 degrees
Space group I4/mmm (No. 139)
Symmetry-distinct sites (fractional):
Cd 0.0000 0.5000 0.2500 [4 per cell]
Ga 0.0000 0.0000 0.0000 [2 per cell]
Re 0.0000 0.0000 0.4190 [4 per cell]



No. 10
Computed, not measured: RbGdCl2 after structural relaxation at the PBE level of DFT.

Output
- final energy (eV per cell) = -72.786
- total moment (μB per atom) = 1.820
- formation energy from raw total energies (meV per atom) = -1380

Cell lengths 4.0562, 4.0562, 30.8431 Å; angles 90.00, 90.00, 120.00 degrees
Space group R-3m (No. 166, hexagonal axes)
Symmetry-distinct sites (fractional):
Rb 0.0000 0.0000 0.0000 [3 per cell]
Gd 0.0000 0.0000 0.5000 [3 per cell]
Cl 0.0000 0.0000 0.1141 [6 per cell]



No. 11
Computed, not measured: TcHgOs2 after structural relaxation at the PBE level of DFT.

Output
- final energy (eV per cell) = -31.188
- total moment (μB per atom) = 0.000

Cell lengths 2.8132, 2.8132, 8.0495 Å; angles 90.00, 90.00, 90.00 degrees
Space group P4/mmm (No. 123)
Symmetry-distinct sites (fractional):
Tc 0.0000 0.0000 0.0000 [1 per cell]
Hg 0.0000 0.0000 0.5000 [1 per cell]
Os 0.5000 0.5000 0.2228 [2 per cell]